No. 1
## Dy7HoEr3 (PBE-GGA)

Data for a relaxed Dy7HoEr3 crystal.

Output
VASP energy   -4.317 eV per atom
V   353 Å³/f.u.

Unit cell a=8.3438 b=8.3438 c=5.7471 alpha=110.09 beta=110.09 gamma=83.15
Fractional coordinates of all 11 atoms:
Dy: 0.0000 0.0000 0.0000
Dy: 0.0990 0.5064 0.3030
Dy: 0.2920 0.2920 0.7934
Dy: 0.4936 0.9010 0.6970
Dy: 0.5064 0.0990 0.3030
Dy: 0.7080 0.7080 0.2066
Dy: 0.9010 0.4936 0.6970
Ho: 0.0000 0.0000 0.5000
Er: 0.2939 0.7061 0.0000
Er: 0.5000 0.5000 0.5000
Er: 0.7061 0.2939 0.0000



No. 2
## Fe2Au (PBE-GGA)

Data for a relaxed Fe2Au crystal.

Output
VASP energy   -6.587 eV per atom
V   42 Å³/f.u.

Unit cell a=6.1784 b=6.1784 c=3.6356 alpha=90.00 beta=90.00 gamma=142.44
Fractional coordinates of all 6 atoms:
Fe: 0.0878 0.9122 0.7500
Fe: 0.2449 0.7551 0.2500
Fe: 0.7551 0.2449 0.7500
Fe: 0.9122 0.0878 0.2500
Au: 0.4106 0.5894 0.7500
Au: 0.5894 0.4106 0.2500



No. 3
## KAl2Sn (PBE-GGA)

Data for a relaxed KAl2Sn crystal.

Output
VASP energy   -2.817 eV per atom
V   119 Å³/f.u.

Unit cell a=6.8778 b=6.8778 c=6.8778 alpha=102.73 beta=102.73 gamma=124.00
Fractional coordinates of all 8 atoms:
K: 0.0000 0.0000 0.0000
K: 0.7500 0.2500 0.5000
Al: 0.1876 0.1250 0.5626
Al: 0.3750 0.8124 0.9374
Al: 0.5624 0.6250 0.4374
Al: 0.8750 0.4376 0.0626
Sn: 0.2500 0.7500 0.5000
Sn: 0.5000 0.5000 0.0000



No. 4
## HfNi2I (PBE-GGA)

Data for a relaxed HfNi2I crystal.

Output
Raw formation energy   0.34 eV per atom
V   69 Å³/f.u.

Unit cell a=4.5933 b=4.5933 c=4.5933 alpha=60.00 beta=60.00 gamma=60.00
Fractional coordinates of all 4 atoms:
Hf: 0.0000 0.0000 0.0000
Ni: 0.2500 0.2500 0.2500
Ni: 0.7500 0.7500 0.7500
I: 0.5000 0.5000 0.5000



No. 5
## La7TlCo2Hg2 (PBE-GGA)

Data for a relaxed La7TlCo2Hg2 crystal.

Output
VASP energy   -4.576 eV per atom
V   372 Å³/f.u.

Unit cell a=5.2908 b=5.2908 c=13.8116 alpha=100.94 beta=100.94 gamma=90.01
Fractional coordinates of all 12 atoms:
La: 0.0000 0.0000 0.0000
La: 0.0975 0.5978 0.1961
La: 0.2067 0.2067 0.4151
La: 0.4022 0.9025 0.8039
La: 0.5978 0.0975 0.1961
La: 0.7933 0.7933 0.5849
La: 0.9025 0.4022 0.8039
Tl: 0.5000 0.5000 0.0000
Co: 0.1022 0.1022 0.2044
Co: 0.8978 0.8978 0.7956
Hg: 0.3259 0.3259 0.6480
Hg: 0.6741 0.6741 0.3520



No. 6
## ScCSeN2 (PBE-GGA)

Data for a relaxed ScCSeN2 crystal.

Output
Raw formation energy   1.39 eV per atom
V   58 Å³/f.u.

Unit cell a=3.7830 b=3.7830 c=4.0307 alpha=90.00 beta=90.00 gamma=90.00
Fractional coordinates of all 5 atoms:
Sc: 0.0000 0.0000 0.0000
C: 0.5000 0.5000 0.5000
Se: 0.5000 0.5000 0.0000
N: 0.0000 0.5000 0.5000
N: 0.5000 0.0000 0.5000



No. 7
## RuW2Br (PBE-GGA)

Data for a relaxed RuW2Br crystal.

Output
Raw formation energy   0.87 eV per atom
V   65 Å³/f.u.

Unit cell a=2.8930 b=4.1804 c=5.4911 alpha=90.00 beta=103.06 gamma=90.00
Fractional coordinates of all 4 atoms:
Ru: 0.0000 0.0000 0.0000
W: 0.4362 0.5000 0.7603
W: 0.5638 0.5000 0.2397
Br: 0.0000 0.0000 0.5000



No. 8
## NaTlAs2Br (PBE-GGA)

Data for a relaxed NaTlAs2Br crystal.

Output
Raw formation energy   0.42 eV per atom
V   161 Å³/f.u.

Unit cell a=5.2875 b=5.2875 c=5.7424 alpha=90.00 beta=90.00 gamma=90.00
Fractional coordinates of all 5 atoms:
Na: 0.0000 0.0000 0.0000
Tl: 0.5000 0.5000 0.5000
As: 0.0000 0.5000 0.0000
As: 0.5000 0.0000 0.0000
Br: 0.0000 0.0000 0.5000



Which of these has the lowest V? Fe2Au



V of number 3 (KAl2Sn)? 119 Å³/f.u.



V of number 2 (Fe2Au)? 42 Å³/f.u.



V of number 5 (La7TlCo2Hg2)? 372 Å³/f.u.